No. 1
# Ac3Ni2Ge3 (PBE-GGA, optimized geometry)
# - Magnetic moment: 0.0000 μB per atom
# - Fermi-level density of states: 0.672 states/eV per atom
# - Formation energy from the elements: -5.2 eV per formula unit
# - Relative energy among the computed polymorphs: 0 meV/atom
data_Ac3Ni2Ge3
_chemical_formula_sum 'Ac6 Ni4 Ge6'
_space_group_name_H-M_alt 'P 1'
_space_group_IT_number 1
_space_group_name_Hall 'P 1'
_cell_length_a 6.1408
_cell_length_b 6.1408
_cell_length_c 16.1092
_cell_angle_alpha 90.00
_cell_angle_beta 90.00
_cell_angle_gamma 139.00
loop_
_atom_site_label
_atom_site_type_symbol
_atom_site_fract_x
_atom_site_fract_y
_atom_site_fract_z
Ac1 Ac 0.0672 0.9328 0.7500
Ac2 Ac 0.3534 0.6466 0.5924
Ac3 Ac 0.3534 0.6466 0.9076
Ac4 Ac 0.6466 0.3534 0.0924
Ac5 Ac 0.6466 0.3534 0.4076
Ac6 Ac 0.9328 0.0672 0.2500
Ni1 Ni 0.3587 0.6413 0.1220
Ni2 Ni 0.3587 0.6413 0.3780
Ni3 Ni 0.6413 0.3587 0.6220
Ni4 Ni 0.6413 0.3587 0.8780
Ge1 Ge 0.0814 0.9186 0.5549
Ge2 Ge 0.0814 0.9186 0.9451
Ge3 Ge 0.2255 0.7745 0.2500
Ge4 Ge 0.7745 0.2255 0.7500
Ge5 Ge 0.9186 0.0814 0.0549
Ge6 Ge 0.9186 0.0814 0.4451



No. 2
# BeTcMo2 (PBE-GGA, optimized geometry)
# - Magnetic moment: 0.0000 μB per atom
# - Fermi-level density of states: 0.902 states/eV per atom
# - Formation energy from the elements: 0.6 eV per formula unit
data_BeTcMo2
_chemical_formula_sum 'Be1 Tc1 Mo2'
_space_group_name_H-M_alt 'P 1'
_space_group_IT_number 1
_space_group_name_Hall 'P 1'
_cell_length_a 2.6845
_cell_length_b 2.6845
_cell_length_c 8.0841
_cell_angle_alpha 90.00
_cell_angle_beta 90.00
_cell_angle_gamma 106.84
loop_
_atom_site_label
_atom_site_type_symbol
_atom_site_fract_x
_atom_site_fract_y
_atom_site_fract_z
Be1 Be 0.0000 0.0000 0.0000
Tc1 Tc 0.0000 0.0000 0.5000
Mo1 Mo 0.5000 0.5000 0.2279
Mo2 Mo 0.5000 0.5000 0.7721



No. 3
# PmPr2Er2 (PBE-GGA, optimized geometry)
# - Magnetic moment: 0.0000 μB per atom
# - Fermi-level density of states: 1.323 states/eV per atom
# - Formation energy from the elements: 0.1 eV per formula unit
# - Relative energy among the computed polymorphs: 0 meV/atom
data_PmPr2Er2
_chemical_formula_sum 'Pm1 Pr2 Er2'
_space_group_name_H-M_alt 'P 1'
_space_group_IT_number 1
_space_group_name_Hall 'P 1'
_cell_length_a 3.6117
_cell_length_b 3.6117
_cell_length_c 14.8102
_cell_angle_alpha 90.05
_cell_angle_beta 90.05
_cell_angle_gamma 59.99
loop_
_atom_site_label
_atom_site_type_symbol
_atom_site_fract_x
_atom_site_fract_y
_atom_site_fract_z
Pm1 Pm 0.0000 0.0000 0.0000
Pr1 Pr 0.3320 0.3320 0.6072
Pr2 Pr 0.6680 0.6680 0.3928
Er1 Er 0.3343 0.3343 0.1959
Er2 Er 0.6657 0.6657 0.8041



No. 4
# Gd3Mn2C6 (PBE-GGA, optimized geometry)
# - Magnetic moment: 1.8934 μB per atom
# - Fermi-level density of states: 0.348 states/eV per atom
# - Formation energy from the elements: -2.9 eV per formula unit
data_Gd3Mn2C6
_chemical_formula_sum 'Gd6 Mn4 C12'
_space_group_name_H-M_alt 'P 1'
_space_group_IT_number 1
_space_group_name_Hall 'P 1'
_cell_length_a 8.0852
_cell_length_b 8.0852
_cell_length_c 5.0725
_cell_angle_alpha 90.00
_cell_angle_beta 90.00
_cell_angle_gamma 120.00
loop_
_atom_site_label
_atom_site_type_symbol
_atom_site_fract_x
_atom_site_fract_y
_atom_site_fract_z
Gd1 Gd 0.0683 0.3797 0.2500
Gd2 Gd 0.3114 0.9317 0.2500
Gd3 Gd 0.3797 0.3114 0.7500
Gd4 Gd 0.6203 0.6886 0.2500
Gd5 Gd 0.6886 0.0683 0.7500
Gd6 Gd 0.9317 0.6203 0.7500
Mn1 Mn 0.0000 0.0000 0.0000
Mn2 Mn 0.0000 0.0000 0.5000
Mn3 Mn 0.3333 0.6667 0.7500
Mn4 Mn 0.6667 0.3333 0.2500
C1 C 0.0404 0.2245 0.7500
C2 C 0.1372 0.4202 0.7500
C3 C 0.1841 0.9596 0.7500
C4 C 0.2245 0.1841 0.2500
C5 C 0.2830 0.8628 0.7500
C6 C 0.4202 0.2830 0.2500
C7 C 0.5798 0.7170 0.7500
C8 C 0.7170 0.1372 0.2500
C9 C 0.7755 0.8159 0.7500
C10 C 0.8159 0.0404 0.2500
C11 C 0.8628 0.5798 0.2500
C12 C 0.9596 0.7755 0.2500



No. 5
# ZnAgPt2 (PBE-GGA, optimized geometry)
# - Magnetic moment: 0.0000 μB per atom
# - Fermi-level density of states: 0.643 states/eV per atom
# - Formation energy from the elements: -0.7 eV per formula unit
data_ZnAgPt2
_chemical_formula_sum 'Zn1 Ag1 Pt2'
_space_group_name_H-M_alt 'P 1'
_space_group_IT_number 1
_space_group_name_Hall 'P 1'
_cell_length_a 4.8066
_cell_length_b 4.8066
_cell_length_c 4.8066
_cell_angle_alpha 130.24
_cell_angle_beta 130.24
_cell_angle_gamma 73.03
loop_
_atom_site_label
_atom_site_type_symbol
_atom_site_fract_x
_atom_site_fract_y
_atom_site_fract_z
Zn1 Zn 0.0000 0.0000 0.0000
Ag1 Ag 0.2500 0.7500 0.5000
Pt1 Pt 0.5000 0.5000 0.0000
Pt2 Pt 0.7500 0.2500 0.5000



No. 6
# LiMgP (PBE-GGA, optimized geometry)
# - Magnetic moment: 0.0000 μB per atom
# - Fermi-level density of states: 0.000 states/eV per atom
# - Formation energy from the elements: -2.3 eV per formula unit
data_LiMgP
_chemical_formula_sum 'Li4 Mg4 P4'
_space_group_name_H-M_alt 'P 1'
_space_group_IT_number 1
_space_group_name_Hall 'P 1'
_cell_length_a 8.5434
_cell_length_b 4.2486
_cell_length_c 6.0381
_cell_angle_alpha 90.00
_cell_angle_beta 90.00
_cell_angle_gamma 90.00
loop_
_atom_site_label
_atom_site_type_symbol
_atom_site_fract_x
_atom_site_fract_y
_atom_site_fract_z
Li1 Li 0.1128 0.2500 0.0087
Li2 Li 0.3872 0.7500 0.5087
Li3 Li 0.6128 0.2500 0.4913
Li4 Li 0.8872 0.7500 0.9913
Mg1 Mg 0.1366 0.2500 0.5086
Mg2 Mg 0.3634 0.7500 0.0086
Mg3 Mg 0.6366 0.2500 0.9914
Mg4 Mg 0.8634 0.7500 0.4914
P1 P 0.1234 0.7500 0.2637
P2 P 0.3766 0.2500 0.7637
P3 P 0.6234 0.7500 0.2363
P4 P 0.8766 0.2500 0.7363